Entry from Alexandria via LeMat-Bulk: a relaxed TiMnO2 crystal (GGA+U).

The structure in POSCAR format:
```
TiMnO2
1.0
2.865 0.000 0.000
1.426 4.895 0.000
1.409 0.246 6.843
Ti Mn O
2 2 4
direct
0.000 0.000 0.000
0.136 0.487 0.244
0.403 0.476 0.723
0.751 0.960 0.544
0.363 0.293 0.981
0.453 0.644 0.454
0.582 0.738 0.098
0.768 0.187 0.282
```

Summary:
V: 48 Å³/f.u.
SG: P1 (1)
Size of the total moment: 8.375 μB/cell
Relative energy among the computed polymorphs: 0.355 eV per formula unit
E_tot: -65.6 eV/cell